A plane-wave DFT calculation with GGA-PBE was carried out for an optimized crystal structure of K4Ce3PtSe8.

Lattice parameters (Å, degrees): 8.3061 9.0415 8.7178 116.81 118.45 90.00
With the nearest neighbours (Å) after each atom.
Atoms (fractional coordinates):
Se 0.7268 0.2636 0.4537  2 Ce 2.87, 1 K 3.04
Se 0.2718 0.2910 0.5436  3 Ce 2.94-3.00, 2 K 3.23
Se 0.2732 0.7364 0.5463  2 Ce 2.87, 1 K 3.04
Se 0.7625 0.6798 0.9600  1 Pt 2.55
Se 0.8025 0.3202 0.0400  1 Pt 2.55
Se 0.7282 0.7090 0.4564  3 Ce 2.94-3.00, 2 K 3.23
Se 0.1975 0.6798 0.9600  1 Pt 2.55
Se 0.2375 0.3202 0.0400  1 Pt 2.55
K 0.5000 0.0000 0.5000  4 Se 3.23-3.31
K 0.0000 0.0000 0.5000  4 Se 3.23-3.31
K 0.5000 0.0000 0.0000  2 Se 3.04
K 0.0000 0.0000 0.0000  6 Se 3.29-3.61
Pt 0.0000 0.5000 0.0000  4 Se 2.55
Ce 0.5000 0.5000 0.5000  6 Se 2.87-3.04
Ce 0.0000 0.5000 0.5000  6 Se 2.87-3.04
Ce 0.5000 0.5000 0.0000  6 Se 2.96-3.00

Calculated values
* theoretical density: 4716 kg/m3
* E_tot: -0.3597 Ry/atom
* Fermi-level density of states: 0.829 states/eV/atom
* formation energy (no corrections): -1.39 eV/atom
* space-group type: C2/m, No. 12